Record 1
Below is a relaxed TmBTe crystal, with properties calculated at the PBE-GGA level. Values from VASP.

Structure (Quantum ESPRESSO input):
```
&SYSTEM
  ibrav = 0, nat = 3, ntyp = 3
/
ATOMIC_SPECIES
Tm 168.93 Tm.upf
B 10.81 B.upf
Te 127.60 Te.upf
CELL_PARAMETERS angstrom
0.0000 3.3535 3.3535
3.3535 0.0000 3.3535
3.3535 3.3535 0.0000
ATOMIC_POSITIONS angstrom
Tm 0.0000 0.0000 0.0000
B 1.6768 1.6768 1.6768
Te 5.0303 5.0303 5.0303
```

Record 2
Below is a relaxed NdPdNO crystal, with properties calculated at the PBE-GGA level. Values from VASP.

Structure (Quantum ESPRESSO input):
```
&SYSTEM
  ibrav = 0, nat = 8, ntyp = 4
/
ATOMIC_SPECIES
Pd 106.42 Pd.upf
O 16.00 O.upf
Nd 144.24 Nd.upf
N 14.01 N.upf
CELL_PARAMETERS angstrom
-2.3500 -2.0447 -2.8083
-1.8142 -2.1690 3.0974
-5.3357 5.3140 0.5958
ATOMIC_POSITIONS angstrom
Pd -4.7500 0.5502 0.4425
Pd -2.6679 2.6570 0.2979
O -2.0821 -2.1068 0.1445
O 0.0000 0.0000 0.0000
Nd -1.9305 -0.2699 -1.3198
Nd -5.4874 3.4771 2.0602
N -3.8286 1.8251 1.8749
N -3.5893 1.3821 -1.1345
```

Record 3
Below is a relaxed TbHoIn4Fe2 crystal, with properties calculated at the PBE-GGA level. Values from VASP.

Structure (Quantum ESPRESSO input):
```
&SYSTEM
  ibrav = 0, nat = 8, ntyp = 4
/
ATOMIC_SPECIES
In 114.82 In.upf
Fe 55.84 Fe.upf
Ho 164.93 Ho.upf
Tb 158.93 Tb.upf
CELL_PARAMETERS angstrom
7.5665 0.0000 0.0000
0.0000 2.1453 5.3046
0.0000 -2.1453 5.3046
ATOMIC_POSITIONS angstrom
In 6.0560 0.0000 1.4958
In 2.2632 0.0000 9.1136
In 5.3032 0.0000 9.1136
In 1.5105 0.0000 1.4958
Fe 3.7832 0.0000 3.0582
Fe 0.0000 0.0000 7.5507
Ho 0.0000 0.0000 4.5832
Tb 3.7832 0.0000 6.0258
```

Record 4
Below is a relaxed AcTlMo crystal, with properties calculated at the PBE-GGA level. Values from VASP.

Structure (Quantum ESPRESSO input):
```
&SYSTEM
  ibrav = 0, nat = 3, ntyp = 3
/
ATOMIC_SPECIES
Mo 95.94 Mo.upf
Tl 204.38 Tl.upf
Ac 227.00 Ac.upf
CELL_PARAMETERS angstrom
-1.4892 -3.0797 -4.0448
-4.9695 0.2367 -1.8195
-0.9853 2.1475 -4.7413
ATOMIC_POSITIONS angstrom
Mo -1.8610 -0.1739 -2.6514
Tl -5.5830 -0.5216 -7.9543
Ac 0.0000 0.0000 0.0000
```

Record 5
Below is a relaxed ZrBiMo2 crystal, with properties calculated at the PBE-GGA level. Values from VASP.

Structure (Quantum ESPRESSO input):
```
&SYSTEM
  ibrav = 0, nat = 4, ntyp = 3
/
ATOMIC_SPECIES
Mo 95.94 Mo.upf
Zr 91.22 Zr.upf
Bi 208.98 Bi.upf
CELL_PARAMETERS angstrom
2.9725 -3.3312 -1.7051
-0.4803 -4.5550 1.3642
-1.5979 -3.2671 -3.1004
ATOMIC_POSITIONS angstrom
Mo 0.0000 0.0000 0.0000
Mo 0.6706 -8.3650 -2.5809
Zr 0.2235 -2.7883 -0.8603
Bi 0.4471 -5.5766 -1.7206
```

Record 6
Below is a relaxed ZrGa2Cu crystal, with properties calculated at the PBE-GGA level. Values from VASP.

Structure (Quantum ESPRESSO input):
```
&SYSTEM
  ibrav = 0, nat = 4, ntyp = 3
/
ATOMIC_SPECIES
Ga 69.72 Ga.upf
Cu 63.55 Cu.upf
Zr 91.22 Zr.upf
CELL_PARAMETERS angstrom
0.0000 3.2312 3.2312
3.2312 0.0000 3.2312
3.2312 3.2312 0.0000
ATOMIC_POSITIONS angstrom
Ga 0.0000 0.0000 0.0000
Ga 4.8469 4.8469 4.8469
Cu 3.2312 3.2312 3.2312
Zr 1.6156 1.6156 1.6156
```

Record 7
Below is a relaxed KH3Au crystal, with properties calculated at the PBE-GGA level. Values from VASP.

Structure (Quantum ESPRESSO input):
```
&SYSTEM
  ibrav = 0, nat = 20, ntyp = 3
/
ATOMIC_SPECIES
H 1.01 H.upf
K 39.10 K.upf
Au 196.97 Au.upf
CELL_PARAMETERS angstrom
4.5864 -5.1871 0.0000
4.5864 5.1871 0.0000
-3.0313 0.0000 7.0636
ATOMIC_POSITIONS angstrom
H 0.8028 -1.2875 4.5995
H 2.3185 1.2875 1.0677
H -0.6464 0.3644 2.9011
H 2.4179 2.4639 6.4634
H 3.9336 -2.4639 2.9316
H 2.2078 2.4639 4.1320
H -2.1621 -0.3644 6.4329
H 3.7235 -2.4639 0.6002
H 5.3386 1.2875 2.4641
H 6.7878 -0.3644 4.1625
H 8.3035 0.3645 0.6307
H 3.8229 -1.2875 5.9959
K -0.0718 1.2256 5.4026
K 1.4438 -1.2256 1.8708
K 6.2133 -1.2256 1.6610
K 4.6976 1.2256 5.1928
Au 2.3129 -1.2882 5.2977
Au 3.8285 -3.6367 1.7659
Au 2.3129 3.6367 5.2977
Au 3.8285 1.2882 1.7659
```

Record 8
Below is a relaxed Tb2YCo2B2As3 crystal, with properties calculated at the PBE-GGA level. Values from VASP.

Structure (Quantum ESPRESSO input):
```
&SYSTEM
  ibrav = 0, nat = 10, ntyp = 5
/
ATOMIC_SPECIES
Co 58.93 Co.upf
Tb 158.93 Tb.upf
As 74.92 As.upf
B 10.81 B.upf
Y 88.91 Y.upf
CELL_PARAMETERS angstrom
-1.9731 1.9731 11.3177
1.9731 -1.9731 11.3177
1.9731 1.9731 -11.3177
ATOMIC_POSITIONS angstrom
Co 1.9731 0.0000 5.6588
Co 0.0000 1.9731 5.6588
Tb 0.0000 0.0000 8.0581
Tb 0.0000 0.0000 14.5773
As 0.0000 0.0000 11.3177
As 0.0000 0.0000 2.8326
As 0.0000 0.0000 19.8028
B 0.0000 0.0000 4.9413
B 0.0000 0.0000 17.6940
Y 0.0000 0.0000 0.0000
```

Q: Which uncorrected energy values were calculated for the entries above? A: -4.223, -7.092, -4.759, -4.497, -8.143, -4.678, -3.057, -6.491, in eV per atom.